Entry 1:
# NaZrAsSe2

NaZrAsSe2 after structural relaxation (PBE, Alexandria via LeMat-Bulk).

Results
- calculated density (g/cm3) = 3.947
- uncorrected formation energy (eV per atom) = -0.60
- magnetization (μB/f.u.) = 0.42
- volume (A^3/atom) = 29.2

a b c (Å): 5.2757 5.2757 5.2460
angles (deg): 90.00 90.00 90.00
Site moments in Bohr magnetons follow the coordinates.
Fractional coordinates of all 5 atoms:
Na (0.5000, 0.5000, 0.5000)  0.00
As (0.0000, 0.0000, 0.5000)  0.14
Se (0.0000, 0.5000, 0.0000)  0.04
Se (0.5000, 0.0000, 0.0000)  0.04
Zr (0.0000, 0.0000, 0.0000)  -0.01



Entry 2:
# Pm2PuRh

Pm2PuRh after structural relaxation (PBE, Alexandria via LeMat-Bulk).

Results
- calculated density (g/cm3) = 10.624
- magnetization (μB/f.u.) = 6.72
- volume (A^3/atom) = 24.9
- E_form (eV/atom) = 0.05

a b c (Å): 5.2026 5.2026 5.2018
angles (deg): 59.99 59.99 60.00
Site moments in Bohr magnetons follow the coordinates.
Fractional coordinates of all 4 atoms:
Pm (0.2500, 0.2500, 0.2501)  0.24
Pm (0.7500, 0.7500, 0.7499)  0.24
Rh (0.0000, 0.0000, 0.0000)  -0.03
Pu (0.5000, 0.5000, 0.5000)  5.71



Entry 3:
# NdTl2F5

NdTl2F5 after structural relaxation (PBE, Alexandria via LeMat-Bulk).

Results
- calculated density (g/cm3) = 6.829
- uncorrected formation energy (eV per atom) = -2.93
- magnetization (μB/f.u.) = 0.00
- volume (A^3/atom) = 19.7

a b c (Å): 7.0720 7.7159 11.5497
angles (deg): 90.00 90.00 90.00
Fractional coordinates of all 32 atoms:
Nd (0.4388, 0.2500, 0.5023)
Nd (0.5612, 0.7500, 0.4977)
Nd (0.9388, 0.7500, 0.9977)
Nd (0.0612, 0.2500, 0.0023)
Tl (0.4831, 0.5018, 0.8281)
Tl (0.5169, 0.4982, 0.1719)
Tl (0.9831, 0.4982, 0.6719)
Tl (0.5169, 0.0018, 0.1719)
Tl (0.0169, 0.5018, 0.3281)
Tl (0.4831, 0.9982, 0.8281)
Tl (0.0169, 0.9982, 0.3281)
Tl (0.9831, 0.0018, 0.6719)
F (0.1140, 0.2500, 0.5192)
F (0.8860, 0.7500, 0.4808)
F (0.6140, 0.7500, 0.9808)
F (0.3860, 0.2500, 0.0192)
F (0.3578, 0.9673, 0.5742)
F (0.6422, 0.0327, 0.4258)
F (0.8578, 0.0327, 0.9258)
F (0.6422, 0.4673, 0.4258)
F (0.1422, 0.9673, 0.0742)
F (0.3578, 0.5327, 0.5742)
F (0.1422, 0.5327, 0.0742)
F (0.8578, 0.4673, 0.9258)
F (0.1508, 0.2500, 0.8082)
F (0.8492, 0.7500, 0.1918)
F (0.6508, 0.7500, 0.6918)
F (0.3492, 0.2500, 0.3082)
F (0.6272, 0.2500, 0.6653)
F (0.3728, 0.7500, 0.3347)
F (0.1272, 0.7500, 0.8347)
F (0.8728, 0.2500, 0.1653)



Entry 4:
# Na2Tb2HfTe6

Na2Tb2HfTe6 after structural relaxation (PBE, Alexandria via LeMat-Bulk).

Results
- calculated density (g/cm3) = 5.863
- uncorrected formation energy (eV per atom) = -1.16
- magnetization (μB/f.u.) = 0.00
- volume (A^3/atom) = 33.7

a b c (Å): 7.4615 7.4615 8.0687
angles (deg): 99.17 99.17 119.61
Fractional coordinates of all 11 atoms:
Na (0.8281, 0.1719, 0.0000)
Na (0.1719, 0.8281, 0.0000)
Tb (0.3323, 0.6677, 0.5000)
Tb (0.6677, 0.3323, 0.5000)
Hf (0.0000, 0.0000, 0.5000)
Te (0.7611, 0.7611, 0.7252)
Te (0.0804, 0.3945, 0.7278)
Te (0.2389, 0.2389, 0.2748)
Te (0.3945, 0.0804, 0.7278)
Te (0.9196, 0.6055, 0.2722)
Te (0.6055, 0.9196, 0.2722)



> Which of these has the lowest calculated density?

NaZrAsSe2



> The highest volume belongs to which entry?

Na2Tb2HfTe6



> Among the records above, which one has the highest volume?

Na2Tb2HfTe6